A | A geometry-optimized CsTe2Se2 structure, computed with PBE. Values from VASP.

V: 343.73 Å³ per cell
magnetic moment: 0.0 μB/f.u.

```
&SYSTEM
  ibrav = 0, nat = 10, ntyp = 3
/
ATOMIC_SPECIES
Cs 132.91 Cs.upf
Te 127.60 Te.upf
Se 78.96 Se.upf
ATOMIC_POSITIONS angstrom
Cs 0.000 0.000 0.000
Cs 4.824 4.824 0.000
Te 3.665 8.489 0.000
Te 8.489 5.982 0.000
Te 5.982 1.158 0.000
Te 1.158 3.665 0.000
Se 2.248 7.071 1.847
Se 7.071 7.400 1.847
Se 7.400 2.576 1.847
Se 2.576 2.248 1.847
CELL_PARAMETERS angstrom
9.647 0.000 0.000
0.000 9.647 0.000
0.000 0.000 3.693
```

=====

B | A geometry-optimized CsTe2Se2 structure, computed with PBE. Values from VASP.

V: 202.49 Å³ per cell
magnetic moment: 0.0 μB/f.u.

```
&SYSTEM
  ibrav = 0, nat = 5, ntyp = 3
/
ATOMIC_SPECIES
Cs 132.91 Cs.upf
Te 127.60 Te.upf
Se 78.96 Se.upf
ATOMIC_POSITIONS angstrom
Cs 0.000 0.000 0.000
Te 2.843 2.843 2.507
Te 5.687 5.687 3.754
Se 5.687 2.843 3.131
Se 2.843 5.687 3.131
CELL_PARAMETERS angstrom
5.687 0.000 0.000
0.000 5.687 0.000
2.843 2.843 6.261
```

=====

B wins, 0.146 eV/atom ahead of the next structure.

=====

A | A geometry-optimized CsTe2Se2 structure, computed with PBE. Values from VASP.

V: 442.66 Å³ per cell
magnetic moment: 0.0 μB/f.u.

```
&SYSTEM
  ibrav = 0, nat = 10, ntyp = 3
/
ATOMIC_SPECIES
Cs 132.91 Cs.upf
Te 127.60 Te.upf
Se 78.96 Se.upf
ATOMIC_POSITIONS angstrom
Cs 3.461 1.373 4.757
Cs -1.076 2.024 1.586
Te -2.746 5.670 2.723
Te -1.778 2.439 5.908
Te 5.131 -2.274 3.620
Te 4.164 0.957 0.435
Se -1.934 0.074 4.771
Se 2.050 -0.172 1.586
Se 0.335 3.568 4.757
Se 4.319 3.322 1.572
CELL_PARAMETERS angstrom
9.237 -1.400 -0.014
-4.451 8.214 -0.014
-2.400 -3.417 6.370
```

=====

B | A geometry-optimized CsTe2Se2 structure, computed with PBE. Values from VASP.

V: 440.99 Å³ per cell
magnetic moment: 0.0 μB/f.u.

```
&SYSTEM
  ibrav = 0, nat = 10, ntyp = 3
/
ATOMIC_SPECIES
Cs 132.91 Cs.upf
Te 127.60 Te.upf
Se 78.96 Se.upf
ATOMIC_POSITIONS angstrom
Cs 0.000 0.000 0.000
Cs 4.990 4.990 0.000
Te 2.244 7.233 2.214
Te 7.233 7.736 2.214
Te 7.736 2.746 2.214
Te 2.746 2.244 2.214
Se 3.266 8.256 0.000
Se 8.256 6.713 0.000
Se 6.713 1.723 0.000
Se 1.723 3.266 0.000
CELL_PARAMETERS angstrom
9.979 0.000 0.000
0.000 9.979 0.000
0.000 0.000 4.428
```

=====

A wins, 0.049 eV/atom ahead of the next structure.